Material: Zn2Cd2Sb
Method: DFT, PBE
State: relaxed

Cell: 3.9980 3.9980 13.8111 Å, 90.00 90.00 90.00°
With the nearest neighbours (Å) after each atom.
Space group I4/mmm (No. 139)
Asymmetric unit:
Zn 0.0000 0.5000 0.2500 (multiplicity 4)  4 Cd 2.83, 4 Zn 2.83
Cd 0.0000 0.0000 0.1053 (multiplicity 4)  4 Zn 2.83, 1 Cd 2.91
Sb 0.0000 0.0000 0.5000 (multiplicity 2)  8 Cd 3.18

The distance to the lowest polymorph of the same formula is 0.000 eV/atom. As for the crystal system: tetragonal.

***

Material: ZnCd2Sb
Method: DFT, PBE
State: relaxed

Cell: 3.2642 4.3307 6.4731 Å, 90.00 90.00 90.00°
With the nearest neighbours (Å) after each atom.
Space group Pmmm (No. 47)
Asymmetric unit:
Zn 0.0000 0.0000 0.0000 (multiplicity 1)  8 Cd 3.08, 2 Sb 3.24, 2 Zn 3.26
Cd 0.5000 0.5000 0.2260 (multiplicity 2)  3 Cd 2.93-3.26, 4 Zn 3.08, 4 Sb 3.24
Sb 0.0000 0.0000 0.5000 (multiplicity 1)  2 Zn 3.24, 8 Cd 3.24, 2 Sb 3.26

The distance to the lowest polymorph of the same formula is 0.045 eV/atom. As for the crystal system: orthorhombic.

***

Material: ZnCd2Sb
Method: DFT, PBE
State: relaxed

Cell: 6.0382 9.1754 3.3313 Å, 90.00 90.00 90.00°
With the nearest neighbours (Å) after each atom.
Space group Cmmm (No. 65)
Asymmetric unit:
Zn 0.0000 0.0000 0.0000 (multiplicity 2)  2 Sb 3.02, 8 Cd 3.21, 2 Zn 3.33
Cd 0.2500 0.2500 0.5000 (multiplicity 4)  4 Cd 3.02-3.33, 4 Sb 3.21, 4 Zn 3.21
Sb 0.0000 0.5000 0.0000 (multiplicity 2)  2 Zn 3.02, 8 Cd 3.21, 2 Sb 3.33

The distance to the lowest polymorph of the same formula is 0.061 eV/atom. As for the crystal system: orthorhombic.

***

Material: ZnCdSb2
Method: DFT, PBE
State: relaxed

Cell: 6.8196 8.3566 3.3937 Å, 90.00 90.00 90.00°
With the nearest neighbours (Å) after each atom.
Space group Cmmm (No. 65)
Asymmetric unit:
Zn 0.0000 0.0000 0.0000 (multiplicity 2)  8 Sb 3.19, 2 Zn 3.39, 2 Cd 3.41
Cd 0.0000 0.5000 0.0000 (multiplicity 2)  8 Sb 3.19, 2 Cd 3.39, 2 Zn 3.41
Sb 0.2500 0.2500 0.5000 (multiplicity 4)  4 Cd 3.19, 4 Zn 3.19, 4 Sb 3.39-3.41

The distance to the lowest polymorph of the same formula is 0.226 eV/atom. As for the crystal system: orthorhombic.

***

Material: ZnCdSb2
Method: DFT, PBE
State: relaxed

Cell: 3.3961 3.3961 29.2398 Å, 90.00 90.00 120.00°
With the nearest neighbours (Å) after each atom.
Space group R3m (No. 160, hexagonal axes)
Asymmetric unit:
Zn 0.0000 0.0000 0.0000 (multiplicity 3)  3 Cd 2.87, 3 Sb 2.90
Cd 0.0000 0.0000 0.7383 (multiplicity 3)  3 Zn 2.87, 3 Sb 3.18
Sb 0.0000 0.0000 0.2603 (multiplicity 3)  3 Zn 2.90
Sb 0.0000 0.0000 0.4905 (multiplicity 3)  3 Cd 3.18, 6 Sb 3.40

The distance to the lowest polymorph of the same formula is 0.202 eV/atom. As for the crystal system: trigonal.

***

Material: ZnCdSb2
Method: DFT, PBE
State: relaxed

Cell: 3.2496 4.6151 6.9807 Å, 90.00 96.96 90.00°
With the nearest neighbours (Å) after each atom.
Space group Pm (No. 6)
Asymmetric unit:
Zn 0.0000 0.0000 0.0000 (multiplicity 1)  3 Sb 2.79-3.04, 4 Cd 3.05-3.06
Cd 0.4568 0.5000 0.8310 (multiplicity 1)  3 Sb 2.88-3.08, 4 Zn 3.05-3.06
Sb 0.2425 0.0000 0.5925 (multiplicity 1)  2 Cd 2.88, 1 Zn 3.04
Sb 0.9988 0.5000 0.2250 (multiplicity 1)  2 Zn 2.79, 1 Cd 3.08

The distance to the lowest polymorph of the same formula is 0.133 eV/atom. As for the crystal system: monoclinic.

***

Material: Zn2CdSb2
Method: DFT, PBE
State: relaxed

Cell: 4.5502 4.5502 12.0033 Å, 90.00 90.00 90.00°
With the nearest neighbours (Å) after each atom.
Space group I4/mmm (No. 139)
Asymmetric unit:
Zn 0.0000 0.0000 0.1003 (multiplicity 4)  1 Zn 2.41
Cd 0.0000 0.0000 0.5000 (multiplicity 2)  8 Zn 3.44, 8 Sb 3.77
Sb 0.0000 0.5000 0.2500 (multiplicity 4)  4 Zn 2.90, 4 Sb 3.22

The distance to the lowest polymorph of the same formula is 0.090 eV/atom. As for the crystal system: tetragonal.

***

Material: ZnCdSb4
Method: DFT, PBE
State: relaxed

Cell: 8.8368 8.8368 8.8368 Å, 90.00 90.00 90.00°
With the nearest neighbours (Å) after each atom.
Space group F-43m (No. 216)
Asymmetric unit:
Zn 0.0000 0.0000 0.0000 (multiplicity 4)  12 Sb 3.66, 4 Cd 3.83
Cd 0.2500 0.2500 0.7500 (multiplicity 4)  12 Sb 3.66, 4 Zn 3.83
Sb 0.1255 0.1255 0.3745 (multiplicity 16)  6 Sb 3.11-3.14

As for the crystal system: cubic.

***

Material: ZnCdSb2
Method: DFT, PBE
State: relaxed

Cell: 3.4516 3.4516 8.0519 Å, 90.00 90.00 90.00°
With the nearest neighbours (Å) after each atom.
Space group P4/mmm (No. 123)
Asymmetric unit:
Zn 0.0000 0.0000 0.0000 (multiplicity 1)  8 Sb 3.01
Cd 0.0000 0.0000 0.5000 (multiplicity 1)  8 Sb 3.33, 4 Cd 3.45
Sb 0.5000 0.5000 0.2195 (multiplicity 2)  4 Zn 3.01, 4 Cd 3.33

The distance to the lowest polymorph of the same formula is 0.201 eV/atom. As for the crystal system: tetragonal.

***

Material: ZnCdSb2
Method: DFT, PBE
State: relaxed

Cell: 3.9995 4.2241 11.9071 Å, 90.00 90.00 90.00°
With the nearest neighbours (Å) after each atom.
Space group Imm2 (No. 44)
Asymmetric unit:
Zn 0.0000 0.0000 0.0000 (multiplicity 2)  4 Sb 2.95, 2 Cd 2.99
Cd 0.0000 0.5000 0.8223 (multiplicity 2)  2 Zn 2.99, 6 Sb 3.09-3.27
Sb 0.0000 0.0000 0.5399 (multiplicity 2)  4 Zn 2.95, 2 Sb 3.06, 2 Cd 3.27
Sb 0.0000 0.5000 0.2342 (multiplicity 2)  2 Sb 3.06, 4 Cd 3.09

The distance to the lowest polymorph of the same formula is 0.161 eV/atom. As for the crystal system: orthorhombic.

***

Material: ZnCd2Sb
Method: DFT, PBE
State: relaxed

Cell: 4.5538 4.5538 16.3750 Å, 90.00 90.00 120.00°
With the nearest neighbours (Å) after each atom.
Space group R3m (No. 160, hexagonal axes)
Asymmetric unit:
Zn 0.0000 0.0000 0.0000 (multiplicity 3)  1 Sb 2.80, 6 Cd 2.84-2.86
Cd 0.0000 0.0000 0.3986 (multiplicity 3)  3 Zn 2.84, 3 Sb 3.07
Cd 0.0000 0.0000 0.5983 (multiplicity 3)  3 Zn 2.86, 3 Sb 3.12
Sb 0.0000 0.0000 0.8290 (multiplicity 3)  1 Zn 2.80, 6 Cd 3.07-3.12

The distance to the lowest polymorph of the same formula is 0.017 eV/atom. As for the crystal system: trigonal.

***

Material: ZnCd2Sb
Method: DFT, PBE
State: relaxed

Cell: 5.8176 11.2234 3.3368 Å, 90.00 121.45 90.00°
With the nearest neighbours (Å) after each atom.
Space group C2/m (No. 12)
Asymmetric unit:
Zn 0.0000 0.0000 0.0000 (multiplicity 2)  4 Sb 2.91-3.08, 4 Cd 3.16
Cd 0.2500 0.2500 0.0000 (multiplicity 4)  4 Cd 2.91-3.08, 2 Zn 3.16, 2 Sb 3.16
Sb 0.0000 0.5000 0.0000 (multiplicity 2)  4 Zn 2.91-3.08, 4 Cd 3.16

The distance to the lowest polymorph of the same formula is 0.034 eV/atom. As for the crystal system: monoclinic.

***

Material: ZnCd2Sb
Method: DFT, PBE
State: relaxed

Cell: 3.3213 5.6210 5.0083 Å, 90.00 93.06 90.00°
With the nearest neighbours (Å) after each atom.
Space group P2/m (No. 10)
Asymmetric unit:
Zn 0.0000 0.0000 0.0000 (multiplicity 1)  4 Sb 2.93-3.08, 4 Cd 3.16
Cd 0.2468 0.5000 0.2455 (multiplicity 2)  4 Cd 2.88-3.10, 2 Zn 3.16, 2 Sb 3.18
Sb 0.5000 0.0000 0.5000 (multiplicity 1)  4 Zn 2.93-3.08, 4 Cd 3.18

The distance to the lowest polymorph of the same formula is 0.021 eV/atom. As for the crystal system: monoclinic.

***

Material: ZnCdSb2
Method: DFT, PBE
State: relaxed

Cell: 8.1971 4.7717 6.8845 Å, 90.00 116.51 90.00°
With the nearest neighbours (Å) after each atom.
Space group Cm (No. 8)
Asymmetric unit:
Zn 0.0000 0.0000 0.0000 (multiplicity 2)  3 Sb 2.73-2.81, 1 Cd 2.98
Cd 0.3451 0.0000 0.4111 (multiplicity 2)  4 Sb 2.80-3.08, 1 Zn 2.98
Sb 0.0445 0.0000 0.5047 (multiplicity 2)  3 Cd 2.80-2.81, 1 Sb 2.90
Sb 0.3236 0.0000 0.9522 (multiplicity 2)  3 Zn 2.73-2.81, 1 Sb 2.90

The distance to the lowest polymorph of the same formula is 0.028 eV/atom. As for the crystal system: monoclinic.

***

Material: ZnCdSb2
Method: DFT, PBE
State: relaxed

Cell: 4.1664 4.3467 5.4191 Å, 90.00 90.00 90.00°
With the nearest neighbours (Å) after each atom.
Space group Pmmm (No. 47)
Asymmetric unit:
Zn 0.0000 0.0000 0.0000 (multiplicity 1)  4 Sb 3.01
Cd 0.5000 0.0000 0.5000 (multiplicity 1)  4 Sb 3.01
Sb 0.0000 0.5000 0.5000 (multiplicity 1)  4 Cd 3.01
Sb 0.5000 0.5000 0.0000 (multiplicity 1)  4 Zn 3.01

The distance to the lowest polymorph of the same formula is 0.208 eV/atom. As for the crystal system: orthorhombic.

***

no.,ΔE_f (raw) (eV per atom),M_tot (μB/cell)
1,0.1382,0.00
2,0.1338,0.00
3,0.1496,0.00
4,0.2080,0.00
5,0.1832,0.00
6,0.1146,0.00
7,0.1761,0.00
8,0.3261,0.00
9,0.1827,0.00
10,0.1425,0.00
11,0.1065,0.00
12,0.1233,0.00
13,0.1100,0.00
14,0.0099,0.00
15,0.1897,0.00